Density functional theory data (PBE with a Hubbard U) for a geometry-optimized LaMnS2O8 structure.

a b c (Å): 5.396 5.396 6.835
angles (deg): 90.00 90.00 120.00
Positions (direct):
La: 0.000 0.000 0.000
Mn: 0.000 0.000 0.500
S: 0.333 0.667 0.218
S: 0.667 0.333 0.782
O: 0.181 0.363 0.287
O: 0.181 0.819 0.287
O: 0.333 0.667 0.000
O: 0.363 0.181 0.713
O: 0.637 0.819 0.287
O: 0.667 0.333 0.000
O: 0.819 0.181 0.713
O: 0.819 0.637 0.713

Summary:
Volume ... 172.3 Å³/cell
Symmetry ... No. 164
DOS(E_F) ... 2.309 states/eV/cell
DFT total energy ... -6.769 eV per atom